## AlRuIN2 (GGA-PBE)

Data for an optimized crystal structure of AlRuIN2.

Cell: 3.756 3.756 6.267 Å, 90.00 90.00 90.00°
Sites, in units of the cell vectors:
Al: 0.000 0.000 0.000
Ru: 0.500 0.500 0.500
I: 0.000 0.000 0.500
N: 0.000 0.500 0.000
N: 0.500 0.000 0.000

size of the total moment	2.8	μB/f.u.
SG	No. 123
formation energy (no corrections)	1239	meV per atom
relative energy among the computed polymorphs	230.7	meV/atom
N(E_F)	4.271	states/eV per cell